Computed, not measured: an optimized crystal structure of BeAl2Au at the PBE level of DFT.

Calculated values
As for the total magnetic moment: 0.00 μB per formula unit. Its crystal system is monoclinic. As for the formation energy: -53 meV per atom. Its total energy is -14.7 eV/cell.

Unit cell a=4.5447 b=4.5447 c=4.5070 alpha=83.37 beta=83.37 gamma=40.96
Sites, in units of the cell vectors:
Au1 0.4938 0.4938 0.4967
Al1 0.7499 0.7499 0.7509
Al2 0.0009 0.0009 0.0249
Be1 0.2554 0.2554 0.2276